Here is a relaxed structure of LiCu2B2 from the Alexandria database. Energies are from GGA-PBE.

Calculated values
SG = P4/mbm
total moment = 0.0 Bohr magnetons per cell
E_tot = -4.51 eV/atom
mass density = 5.53 g cm⁻³
calculated formation energy = 0.183 eV/atom

a b c (Å): 6.0786 6.0786 2.5284
angles (deg): 90.00 90.00 90.00
Closest atoms and distances in Å follow each position.
Element x y z (fractional)
Li: 0.0000 0.0000 0.0000  4 B 2.51, 8 Cu 2.52, 2 Li 2.53
Li: 0.5000 0.5000 0.0000  4 B 2.51, 8 Cu 2.52, 2 Li 2.53
Cu: 0.2050 0.2950 0.5000  6 B 2.11-2.33
Cu: 0.2950 0.7950 0.5000  6 B 2.11-2.33
Cu: 0.7050 0.2050 0.5000  6 B 2.11-2.33
Cu: 0.7950 0.7050 0.5000  6 B 2.11-2.33
B: 0.0982 0.5982 0.0000  1 B 1.69
B: 0.4018 0.0982 0.0000  1 B 1.69
B: 0.5982 0.9018 0.0000  1 B 1.69
B: 0.9018 0.4018 0.0000  1 B 1.69

=====

Here is a relaxed structure of Li2Cu2B from the Alexandria database. Energies are from GGA-PBE.

Calculated values
SG = P4/mbm
total moment = 0.0 Bohr magnetons per cell
E_tot = -3.60 eV/atom
mass density = 4.06 g cm⁻³
calculated formation energy = 0.140 eV/atom

a b c (Å): 5.3665 5.3665 4.3144
angles (deg): 90.00 90.00 90.00
Closest atoms and distances in Å follow each position.
Element x y z (fractional)
Li: 0.1736 0.3264 0.0000  2 Cu 2.48, 1 Li 2.63
Li: 0.3264 0.8264 0.0000  2 Cu 2.48, 1 Li 2.63
Li: 0.6736 0.1736 0.0000  2 Cu 2.48, 1 Li 2.63
Li: 0.8264 0.6736 0.0000  2 Cu 2.48, 1 Li 2.63
Cu: 0.1640 0.6640 0.5000  2 B 2.01
Cu: 0.3360 0.1640 0.5000  2 B 2.01
Cu: 0.6640 0.8360 0.5000  2 B 2.01
Cu: 0.8360 0.3360 0.5000  2 B 2.01
B: 0.0000 0.0000 0.5000  4 Cu 2.01
B: 0.5000 0.5000 0.5000  4 Cu 2.01

=====

Here is a relaxed structure of LiCu3B from the Alexandria database. Energies are from GGA-PBE.

Calculated values
SG = Pm-3m
total moment = 0.0 Bohr magnetons per cell
E_tot = -4.11 eV/atom
mass density = 5.58 g cm⁻³
calculated formation energy = 0.066 eV/atom

a b c (Å): 3.9573 3.9573 3.9573
angles (deg): 90.00 90.00 90.00
Closest atoms and distances in Å follow each position.
Element x y z (fractional)
Li: 0.0000 0.0000 0.0000  12 Cu 2.80
Cu: 0.0000 0.5000 0.5000  2 B 1.98
Cu: 0.5000 0.0000 0.5000  2 B 1.98
Cu: 0.5000 0.5000 0.0000  2 B 1.98
B: 0.5000 0.5000 0.5000  6 Cu 1.98

=====

Here is a relaxed structure of NaLiCu2B from the Alexandria database. Energies are from GGA-PBE.

Calculated values
SG = P4/mmm
total moment = 0.0 Bohr magnetons per cell
E_tot = -3.47 eV/atom
mass density = 3.89 g cm⁻³
calculated formation energy = 0.153 eV/atom

a b c (Å): 4.0213 4.0213 4.4321
angles (deg): 90.00 90.00 90.00
Closest atoms and distances in Å follow each position.
Element x y z (fractional)
Na: 0.0000 0.0000 0.0000  4 Li 2.84, 8 Cu 2.99
Li: 0.5000 0.5000 0.0000  2 B 2.22
Cu: 0.0000 0.5000 0.5000  2 B 2.01
Cu: 0.5000 0.0000 0.5000  2 B 2.01
B: 0.5000 0.5000 0.5000  4 Cu 2.01, 2 Li 2.22

=====

Here is a relaxed structure of Li3Cu2Ni3B from the Alexandria database. Energies are from GGA-PBE.

Calculated values
SG = P-62m
total moment = 0.0 Bohr magnetons per cell
E_tot = -4.32 eV/atom
mass density = 5.70 g cm⁻³
calculated formation energy = -0.099 eV/atom

a b c (Å): 6.5889 6.5889 2.5965
angles (deg): 90.00 90.00 120.00
Closest atoms and distances in Å follow each position.
Element x y z (fractional)
Li: 0.0000 0.3798 0.0000  4 Cu 2.44, 1 B 2.50, 4 Ni 2.54, 2 Li 2.60
Li: 0.3798 0.0000 0.0000  4 Cu 2.44, 1 B 2.50, 4 Ni 2.54, 2 Li 2.60
Li: 0.6202 0.6202 0.0000  4 Cu 2.44, 1 B 2.50, 4 Ni 2.54, 2 Li 2.60
Cu: 0.3333 0.6667 0.5000  6 Li 2.44, 3 Ni 2.58, 2 Cu 2.60
Cu: 0.6667 0.3333 0.5000  6 Li 2.44, 3 Ni 2.58, 2 Cu 2.60
Ni: 0.0000 0.7635 0.5000  2 B 2.03
Ni: 0.2365 0.2365 0.5000  2 B 2.03
Ni: 0.7635 0.0000 0.5000  2 B 2.03
B: 0.0000 0.0000 0.0000  6 Ni 2.03

=====

Here is a relaxed structure of Li2CuNi5B2 from the Alexandria database. Energies are from GGA-PBE.

Calculated values
SG = P4/mbm
total moment = 0.0 Bohr magnetons per cell
E_tot = -5.24 eV/atom
mass density = 6.28 g cm⁻³
calculated formation energy = -0.222 eV/atom

a b c (Å): 8.7100 8.7100 2.7367
angles (deg): 90.00 90.00 90.00
Closest atoms and distances in Å follow each position.
Element x y z (fractional)
Li: 0.1763 0.3237 0.0000  3 B 2.44-2.67, 10 Ni 2.57-2.69
Li: 0.3237 0.8237 0.0000  3 B 2.44-2.67, 10 Ni 2.57-2.69
Li: 0.6763 0.1763 0.0000  3 B 2.44-2.67, 10 Ni 2.57-2.69
Li: 0.8237 0.6763 0.0000  3 B 2.44-2.67, 10 Ni 2.57-2.69
Cu: 0.0000 0.0000 0.0000  8 Ni 2.43
Cu: 0.5000 0.5000 0.0000  8 Ni 2.43
Ni: 0.0000 0.5000 0.5000  4 B 2.07
Ni: 0.0691 0.7803 0.5000  2 B 1.98
Ni: 0.2197 0.0691 0.5000  2 B 1.98
Ni: 0.2803 0.5691 0.5000  2 B 1.98
Ni: 0.4309 0.2803 0.5000  2 B 1.98
Ni: 0.5000 0.0000 0.5000  4 B 2.07
Ni: 0.5691 0.7197 0.5000  2 B 1.98
Ni: 0.7197 0.4309 0.5000  2 B 1.98
Ni: 0.7803 0.9309 0.5000  2 B 1.98
Ni: 0.9309 0.2197 0.5000  2 B 1.98
B: 0.1259 0.6259 0.0000  6 Ni 1.98-2.07
B: 0.3741 0.1259 0.0000  6 Ni 1.98-2.07
B: 0.6259 0.8741 0.0000  6 Ni 1.98-2.07
B: 0.8741 0.3741 0.0000  6 Ni 1.98-2.07

=====

Here is a relaxed structure of LiCuBO3 from the Alexandria database. Energies are from GGA-PBE.

Calculated values
ΔE to the lowest computed polymorph = 0.009 eV/atom
SG = P-6
total moment = 1.1 Bohr magnetons per cell
E_tot = -6.28 eV/atom
mass density = 3.66 g cm⁻³

a b c (Å): 8.0371 8.0371 3.1499
angles (deg): 90.00 90.00 120.00
Closest atoms and distances in Å follow each position.
Element x y z (fractional)
Li: 0.0065 0.7072 0.0000  5 O 1.99-2.18
Li: 0.2928 0.2993 0.0000  5 O 1.99-2.18
Li: 0.7007 0.9935 0.0000  5 O 1.99-2.18
Cu: 0.3822 0.0098 0.5000  4 O 1.95-2.06
Cu: 0.6276 0.6178 0.5000  4 O 1.95-2.06
Cu: 0.9902 0.3724 0.5000  4 O 1.95-2.06
B: 0.0000 0.0000 0.5000  3 O 1.39
B: 0.3333 0.6667 0.0000  3 O 1.38
B: 0.6667 0.3333 0.5000  3 O 1.37
O: 0.0948 0.1991 0.5000  1 B 1.39
O: 0.1043 0.9052 0.5000  1 B 1.39
O: 0.1354 0.5510 0.0000  1 B 1.38
O: 0.4156 0.8646 0.0000  1 B 1.38
O: 0.4490 0.5844 0.0000  1 B 1.38
O: 0.4818 0.3008 0.5000  1 B 1.37
O: 0.6992 0.1810 0.5000  1 B 1.37
O: 0.8009 0.8957 0.5000  1 B 1.39
O: 0.8190 0.5182 0.5000  1 B 1.37

=====

Here is a relaxed structure of LiCuBO3 from the Alexandria database. Energies are from GGA-PBE.

Calculated values
ΔE to the lowest computed polymorph = 0.009 eV/atom
SG = Pbca
total moment = 3.6 Bohr magnetons per cell
E_tot = -6.28 eV/atom
mass density = 3.70 g cm⁻³

a b c (Å): 5.1910 5.2306 17.0881
angles (deg): 90.00 90.00 90.00
Closest atoms and distances in Å follow each position.
Element x y z (fractional)
Li: 0.2486 0.0192 0.2407  4 O 1.96-2.04
Li: 0.2486 0.4808 0.7407  4 O 1.96-2.04
Li: 0.2514 0.5192 0.2407  4 O 1.96-2.04
Li: 0.2514 0.9808 0.7407  4 O 1.96-2.04
Li: 0.7486 0.0192 0.2593  4 O 1.96-2.04
Li: 0.7486 0.4808 0.7593  4 O 1.96-2.04
Li: 0.7514 0.5192 0.2593  4 O 1.96-2.04
Li: 0.7514 0.9808 0.7593  4 O 1.96-2.04
Cu: 0.0018 0.1959 0.5711  4 O 1.96-1.98
Cu: 0.0018 0.3041 0.0711  4 O 1.96-1.98
Cu: 0.4982 0.6959 0.5711  4 O 1.96-1.98
Cu: 0.4982 0.8041 0.0711  4 O 1.96-1.98
Cu: 0.5018 0.1959 0.9289  4 O 1.96-1.98
Cu: 0.5018 0.3041 0.4289  4 O 1.96-1.98
Cu: 0.9982 0.6959 0.9289  4 O 1.96-1.98
Cu: 0.9982 0.8041 0.4289  4 O 1.96-1.98
B: 0.0073 0.2055 0.8739  3 O 1.36-1.42
B: 0.0073 0.2945 0.3739  3 O 1.36-1.42
B: 0.4927 0.7055 0.8739  3 O 1.36-1.42
B: 0.4927 0.7945 0.3739  3 O 1.36-1.42
B: 0.5073 0.2055 0.6261  3 O 1.36-1.42
B: 0.5073 0.2945 0.1261  3 O 1.36-1.42
B: 0.9927 0.7055 0.6261  3 O 1.36-1.42
B: 0.9927 0.7945 0.1261  3 O 1.36-1.42
O: 0.0280 0.2325 0.7950  1 B 1.36
O: 0.0280 0.2675 0.2950  1 B 1.36
O: 0.1541 0.1498 0.4280  1 B 1.42
O: 0.1541 0.3502 0.9280  1 B 1.42
O: 0.1671 0.5236 0.5951  1 B 1.42
O: 0.1671 0.9764 0.0951  1 B 1.42
O: 0.3329 0.0236 0.5951  1 B 1.42
O: 0.3329 0.4764 0.0951  1 B 1.42
O: 0.3459 0.6498 0.4280  1 B 1.42
O: 0.3459 0.8502 0.9280  1 B 1.42
O: 0.4720 0.7325 0.7950  1 B 1.36
O: 0.4720 0.7675 0.2950  1 B 1.36
O: 0.5280 0.2325 0.7050  1 B 1.36
O: 0.5280 0.2675 0.2050  1 B 1.36
O: 0.6541 0.1498 0.0720  1 B 1.42
O: 0.6541 0.3502 0.5720  1 B 1.42
O: 0.6671 0.5236 0.9049  1 B 1.42
O: 0.6671 0.9764 0.4049  1 B 1.42
O: 0.8329 0.0236 0.9049  1 B 1.42
O: 0.8329 0.4764 0.4049  1 B 1.42
O: 0.8459 0.6498 0.0720  1 B 1.42
O: 0.8459 0.8502 0.5720  1 B 1.42
O: 0.9720 0.7325 0.7050  1 B 1.36
O: 0.9720 0.7675 0.2050  1 B 1.36